Below is a relaxed structure of In2SbSe6, with properties calculated at the PBE-GGA level.

Geometry as extended XYZ:
```
18
Lattice="6.7683 -5.8001 0.0000 6.7683 5.8001 0.0000 -3.2900 0.0000 6.2672" Properties=species:S:1:pos:R:3 pbc="T T T"
In 1.3149 1.0063 2.8326
In -0.3301 -1.0063 5.9662
In 10.5766 1.0063 0.3010
In 8.9316 -1.0063 3.4346
Sb 4.3007 0.8693 4.7004
Sb 5.9457 -0.8693 1.5668
Se 2.6220 4.9758 6.1762
Se 5.9795 4.9758 3.2246
Se 3.5712 2.5643 2.6916
Se 1.7017 1.0769 5.7653
Se 8.3203 2.5643 0.4419
Se 3.3467 -1.0769 2.6317
Se 6.8998 1.0769 3.6355
Se 1.9262 -2.5643 5.8252
Se 8.5448 -1.0769 0.5019
Se 6.6753 -2.5643 3.5755
Se 4.2670 -4.9758 3.0426
Se 7.6245 -4.9758 0.0910
```

Properties
The value obtained for the uncorrected energy is -3.646 eV per atom. The magnetic moment comes out at 0.0 μB per cell. For the uncorrected formation energy, the calculation gives -256 meV/atom. The crystal system is monoclinic.